First-principles (PBE-GGA) data for a geometry-optimized PmSm3Pt structure, as listed in Alexandria via LeMat-Bulk.

```
10
Lattice="6.5883 0.0000 0.0000 0.0000 5.2437 0.0000 -0.9994 0.0000 8.7419" Properties=species:S:1:pos:R:3 pbc="T T T"
Pm 0.4222 1.3109 2.5376
Pm 5.1667 3.9328 6.2043
Sm 0.7589 1.3109 6.5786
Sm 1.8079 3.9328 0.5266
Sm 1.6869 3.9328 4.2108
Sm 3.9019 1.3109 4.5311
Sm 3.7810 1.3109 8.2153
Sm 4.8300 3.9328 2.1633
Pt 2.3512 3.9328 6.9471
Pt 3.2377 1.3109 1.7948
```

- calculated total energy (eV per atom) = -5.414
- energy above the lowest structure with this stoichiometry (kJ/mol of formula units) = 28
- DFT formation energy (eV per atom) = -0.424
- magnetic moment (Bohr magnetons per cell) = 0.00
- SG = P2_1/m, No. 11